[1]
# K2Hg3F10

Crystalline K2Hg3F10 at its relaxed geometry (PBE, the Alexandria database).

Unit cell a=10.6416 b=10.6416 c=8.4861 alpha=109.66 beta=109.66 gamma=37.76
Element x y z (fractional)
K: 0.1095 0.1095 0.1931
K: 0.2119 0.2119 0.8431
K: 0.7881 0.7881 0.1569
K: 0.8905 0.8905 0.8069
Hg: 0.2398 0.7602 0.5000
Hg: 0.3147 0.3147 0.4630
Hg: 0.4168 0.4168 0.0249
Hg: 0.5832 0.5832 0.9751
Hg: 0.6853 0.6853 0.5370
Hg: 0.7602 0.2398 0.5000
F: 0.0000 0.5000 0.5000
F: 0.0017 0.0017 0.6903
F: 0.1088 0.5775 0.9959
F: 0.1314 0.6335 0.4326
F: 0.2537 0.2537 0.2116
F: 0.2953 0.7047 0.0000
F: 0.3665 0.8686 0.5674
F: 0.3674 0.3674 0.7211
F: 0.4225 0.8912 0.0041
F: 0.4826 0.4826 0.3125
F: 0.5000 0.0000 0.5000
F: 0.5174 0.5174 0.6875
F: 0.5775 0.1088 0.9959
F: 0.6326 0.6326 0.2789
F: 0.6335 0.1314 0.4326
F: 0.7047 0.2953 0.0000
F: 0.7463 0.7463 0.7884
F: 0.8686 0.3665 0.5674
F: 0.8912 0.4225 0.0041
F: 0.9983 0.9983 0.3097

Calculated values
Space group: C2/m (12)
Crystal system: monoclinic
ΔE_f (raw) (kJ per mole of atoms): -159.7
Total magnetization (Bohr magnetons per cell): 0.9
Raw total energy (eV per atom): -3.109



[2]
# ScAgGe2Mo

Crystalline ScAgGe2Mo at its relaxed geometry (PBE, the Alexandria database).

Unit cell a=4.8993 b=4.8993 c=4.9597 alpha=90.00 beta=90.00 gamma=90.00
Element x y z (fractional)
Sc: 0.0000 0.0000 0.0000
Ag: 0.5000 0.5000 0.0000
Ge: 0.0000 0.5000 0.5000
Ge: 0.5000 0.0000 0.5000
Mo: 0.0000 0.0000 0.5000

Calculated values
Space group: P4/mmm (123)
Crystal system: tetragonal
Total magnetization (Bohr magnetons per cell): 0.0
Calculated formation energy (eV per atom): 0.3930
Raw total energy (eV per atom): -5.457



[3]
# Sr3GaCo

Crystalline Sr3GaCo at its relaxed geometry (PBE, the Alexandria database).

Unit cell a=5.6288 b=5.6288 c=5.6288 alpha=90.00 beta=90.00 gamma=90.00
Element x y z (fractional)
Sr: 0.0000 0.0000 0.5000
Sr: 0.0000 0.5000 0.0000
Sr: 0.5000 0.0000 0.0000
Ga: 0.5000 0.5000 0.5000
Co: 0.0000 0.0000 0.0000

Calculated values
ΔE to the lowest computed polymorph (eV per atom): 0.000
Space group: Pm-3m (221)
Crystal system: cubic
Total magnetization (Bohr magnetons per cell): 0.0
Calculated formation energy (eV per atom): 0.2513
Raw total energy (eV per atom): -2.784



[4]
# Th2BeNi12B3

Crystalline Th2BeNi12B3 at its relaxed geometry (PBE, the Alexandria database).

Unit cell a=6.7480 b=6.7480 c=6.7480 alpha=64.51 beta=64.51 gamma=64.51
Element x y z (fractional)
Th: 0.1189 0.1189 0.1189
Th: 0.8811 0.8811 0.8811
Be: 0.5000 0.5000 0.5000
Ni: 0.1436 0.6059 0.6059
Ni: 0.1792 0.1792 0.5866
Ni: 0.1792 0.5866 0.1792
Ni: 0.3941 0.3941 0.8564
Ni: 0.3941 0.8564 0.3941
Ni: 0.4134 0.8208 0.8208
Ni: 0.5866 0.1792 0.1792
Ni: 0.6059 0.1436 0.6059
Ni: 0.6059 0.6059 0.1436
Ni: 0.8208 0.4134 0.8208
Ni: 0.8208 0.8208 0.4134
Ni: 0.8564 0.3941 0.3941
B: 0.0000 0.5000 0.5000
B: 0.5000 0.0000 0.5000
B: 0.5000 0.5000 0.0000

Calculated values
Space group: R-3m (166)
Crystal system: trigonal
Total magnetization (Bohr magnetons per cell): 0.0
Calculated formation energy (eV per atom): -0.1764
Raw total energy (eV per atom): -6.175



What is the formula in the fourth record? Th2BeNi12B3



What is the formula in the fourth record? Th2BeNi12B3



Please write out number 4 again, unchanged.
# Th2BeNi12B3

Crystalline Th2BeNi12B3 at its relaxed geometry (PBE, the Alexandria database).

Unit cell a=6.7480 b=6.7480 c=6.7480 alpha=64.51 beta=64.51 gamma=64.51
Element x y z (fractional)
Th: 0.1189 0.1189 0.1189
Th: 0.8811 0.8811 0.8811
Be: 0.5000 0.5000 0.5000
Ni: 0.1436 0.6059 0.6059
Ni: 0.1792 0.1792 0.5866
Ni: 0.1792 0.5866 0.1792
Ni: 0.3941 0.3941 0.8564
Ni: 0.3941 0.8564 0.3941
Ni: 0.4134 0.8208 0.8208
Ni: 0.5866 0.1792 0.1792
Ni: 0.6059 0.1436 0.6059
Ni: 0.6059 0.6059 0.1436
Ni: 0.8208 0.4134 0.8208
Ni: 0.8208 0.8208 0.4134
Ni: 0.8564 0.3941 0.3941
B: 0.0000 0.5000 0.5000
B: 0.5000 0.0000 0.5000
B: 0.5000 0.5000 0.0000

Calculated values
Space group: R-3m (166)
Crystal system: trigonal
Total magnetization (Bohr magnetons per cell): 0.0
Calculated formation energy (eV per atom): -0.1764
Raw total energy (eV per atom): -6.175